First-principles (PBEsol) data for crystalline Li2LaAlMo at its relaxed geometry, as listed in Alexandria via LeMat-Bulk.

Cell: 4.624 4.624 5.827 Å, 90.00 90.00 90.00°
Atoms (fractional coordinates):
Li 0.000 0.500 0.000
Li 0.500 0.000 0.000
La 0.000 0.000 0.500
Al 0.000 0.000 0.000
Mo 0.500 0.500 0.500

Summary:
density of states at the Fermi level: 4.3 states/eV/cell
energy relative to the elements: 1.13 eV/atom
E: -19.49 eV/cell



First-principles (PBEsol) data for crystalline ZnHgBr2 at its relaxed geometry, as listed in Alexandria via LeMat-Bulk.

Cell: 9.512 9.512 9.512 Å, 22.23 22.23 22.23°
Atoms (fractional coordinates):
Zn 0.000 0.000 0.000
Hg 0.500 0.500 0.500
Br 0.280 0.280 0.280
Br 0.720 0.720 0.720

Summary:
density of states at the Fermi level: 0.0 states/eV/cell
energy above the most stable polymorph in this dataset: 0 meV/atom
raw formation energy: -526 meV per atom
E: -7.99 eV/cell



First-principles (PBEsol) data for crystalline Ho3Al2 at its relaxed geometry, as listed in Alexandria via LeMat-Bulk.

Cell: 8.094 8.094 7.454 Å, 90.00 90.00 90.00°
Atoms (fractional coordinates):
Ho 0.000 0.500 0.250
Ho 0.000 0.500 0.750
Ho 0.149 0.149 0.000
Ho 0.202 0.202 0.500
Ho 0.298 0.702 0.000
Ho 0.351 0.649 0.500
Ho 0.500 0.000 0.250
Ho 0.500 0.000 0.750
Ho 0.649 0.351 0.500
Ho 0.702 0.298 0.000
Ho 0.798 0.798 0.500
Ho 0.851 0.851 0.000
Al 0.120 0.880 0.306
Al 0.120 0.880 0.694
Al 0.380 0.380 0.194
Al 0.380 0.380 0.806
Al 0.620 0.620 0.194
Al 0.620 0.620 0.806
Al 0.880 0.120 0.306
Al 0.880 0.120 0.694

Summary:
density of states at the Fermi level: 22.3 states/eV/cell
energy relative to the elements: -0.32 eV/atom
E: -98.45 eV/cell



| no. | size of the total moment (μB/cell) |
| --- | --- |
| 1 | 2.4 |
| 2 | 0.0 |
| 3 | 0.0 |